1.
Compound: Tb2B2PdRh5
Source: Alexandria via LeMat-Bulk
Functional: PBE
Structure: optimized geometry

Summary:
Magnetization: 0.00 μB per formula unit
SG: P4/mbm

abc: 9.5587 9.5587 3.2353
angles: 90.00 90.00 90.00
Positions (direct):
Tb: 0.1774 0.3226 0.0000
Tb: 0.3226 0.8226 0.0000
Tb: 0.6774 0.1774 0.0000
Tb: 0.8226 0.6774 0.0000
B: 0.1229 0.6229 0.0000
B: 0.3771 0.1229 0.0000
B: 0.6229 0.8771 0.0000
B: 0.8771 0.3771 0.0000
Pd: 0.0000 0.0000 0.0000
Pd: 0.5000 0.5000 0.0000
Rh: 0.0000 0.5000 0.5000
Rh: 0.0703 0.7740 0.5000
Rh: 0.2260 0.0703 0.5000
Rh: 0.2740 0.5703 0.5000
Rh: 0.4297 0.2740 0.5000
Rh: 0.5000 0.0000 0.5000
Rh: 0.5703 0.7260 0.5000
Rh: 0.7260 0.4297 0.5000
Rh: 0.7740 0.9297 0.5000
Rh: 0.9297 0.2260 0.5000

2.
Compound: Th4In5Hg
Source: Alexandria via LeMat-Bulk
Functional: PBE
Structure: optimized geometry

Summary:
Magnetization: 0.00 μB per formula unit
SG: Pmmn

abc: 7.0800 10.5942 7.9564
angles: 90.00 90.00 90.00
Positions (direct):
Th: 0.0001 0.2500 0.2031
Th: 0.9999 0.7500 0.7969
Th: 0.2500 0.0621 0.5024
Th: 0.2500 0.4379 0.5024
Th: 0.4999 0.2500 0.2031
Th: 0.5001 0.7500 0.7969
Th: 0.7500 0.5621 0.4976
Th: 0.7500 0.9379 0.4976
In: 0.0457 0.5634 0.1622
In: 0.0457 0.9366 0.1622
In: 0.2500 0.2500 0.8478
In: 0.4543 0.5634 0.1622
In: 0.4543 0.9366 0.1622
In: 0.5457 0.0634 0.8378
In: 0.5457 0.4366 0.8378
In: 0.7500 0.7500 0.1522
In: 0.9543 0.0634 0.8378
In: 0.9543 0.4366 0.8378
Hg: 0.2500 0.7500 0.4477
Hg: 0.7500 0.2500 0.5523

Number 1: E_tot -0.5221 Ry/atom, ΔH_f (0 K) -0.647 eV/atom. Number 2: E_tot -0.3214 Ry/atom, ΔH_f (0 K) -0.006 eV/atom.